Record 1
A plane-wave DFT calculation with PBE-GGA was carried out for crystalline Pm2CrAs4Pt3 at its relaxed geometry.

abc: 4.226 4.226 10.885
angles: 90.00 90.00 90.00
Positions (direct):
Pm  0.500  0.000  0.256
Pm  0.000  0.500  0.744
Cr  0.500  0.500  0.500
As  0.500  0.500  0.000
As  0.000  0.000  0.000
As  0.500  0.000  0.634
As  0.000  0.500  0.366
Pt  0.000  0.000  0.500
Pt  0.500  0.000  0.859
Pt  0.000  0.500  0.141

Electronic total energy, eV per cell: -63.60
Symmetry: P-4m2, No. 115
Formation energy, eV per atom: -0.78
Volume, Å³ per cell: 194.38

Record 2
A plane-wave DFT calculation with PBE-GGA was carried out for crystalline Tb5Pm2Pr3 at its relaxed geometry.

abc: 11.040 10.037 10.037
angles: 56.66 56.63 56.63
Positions (direct):
Tb  0.250  0.500  0.500
Tb  0.750  0.500  0.500
Tb  0.502  0.748  0.748
Tb  0.998  0.252  0.252
Tb  0.498  0.252  0.252
Tb  0.002  0.748  0.748
Tb  0.123  0.467  0.287
Tb  0.877  0.533  0.713
Tb  0.623  0.287  0.467
Tb  0.377  0.713  0.533
Pm  0.127  0.772  0.974
Pm  0.873  0.228  0.026
Pm  0.627  0.974  0.772
Pm  0.373  0.026  0.228
Pr  0.250  0.000  0.000
Pr  0.750  0.000  0.000
Pr  0.373  0.377  0.877
Pr  0.627  0.623  0.123
Pr  0.873  0.877  0.377
Pr  0.127  0.123  0.623

Electronic total energy, eV per cell: -86.52
Symmetry: Ibam, No. 72
Relative energy among the computed polymorphs, meV/atom: 194
Formation energy, eV per atom: 0.37
Volume, Å³ per cell: 725.40

Record 3
A plane-wave DFT calculation with PBE-GGA was carried out for crystalline K2RbSr at its relaxed geometry.

abc: 11.530 11.530 9.291
angles: 51.65 51.65 90.00
Positions (direct):
Sr  0.000  0.000  0.000
Sr  0.750  0.250  0.500
K  0.619  0.125  0.250
K  0.131  0.625  0.250
K  0.375  0.381  0.750
K  0.875  0.869  0.750
Rb  0.500  0.500  0.000
Rb  0.250  0.750  0.500

Electronic total energy, eV per cell: -8.06
Symmetry: I-42d, No. 122
Relative energy among the computed polymorphs, meV/atom: 136
Formation energy, eV per atom: 0.20
Volume, Å³ per cell: 592.33

Record 4
A plane-wave DFT calculation with PBE-GGA was carried out for crystalline Ca2HgOs at its relaxed geometry.

abc: 5.877 5.877 5.335
angles: 74.85 74.85 31.99
Positions (direct):
Ca  0.035  0.035  0.931
Ca  0.227  0.227  0.300
Os  0.774  0.774  0.787
Hg  0.464  0.464  0.482

Electronic total energy, eV per cell: -14.73
Symmetry: Cm, No. 8
Formation energy, eV per atom: 0.20
Volume, Å³ per cell: 93.95